Entry 1:
A geometry-optimized Nd2GaTc structure. Source: Alexandria via LeMat-Bulk, functional PBE.

The structure in CIF format:
```
data_Nd2GaTc
_space_group_name_H-M_alt 'R -3 m'
_space_group_IT_number 166
_space_group_name_Hall '-R 3 2"'
_cell_length_a 3.2935
_cell_length_b 3.2935
_cell_length_c 31.4560
_cell_angle_alpha 90.00
_cell_angle_beta 90.00
_cell_angle_gamma 120.00
loop_
_atom_site_label
_atom_site_type_symbol
_atom_site_fract_x
_atom_site_fract_y
_atom_site_fract_z
Nd1 Nd 0.0000 0.0000 0.0862
Ga1 Ga 0.0000 0.0000 0.5000
Tc1 Tc 0.0000 0.0000 0.0000
```

Values from the calculation:
Formation enthalpy at 0 K   2.1 eV/f.u.
Uncorrected energy   -62.370 eV per cell



Entry 2:
A geometry-optimized TaRu structure. Source: Alexandria via LeMat-Bulk, functional PBE.

The structure in CIF format:
```
data_TaRu
_space_group_name_H-M_alt 'I m m a'
_space_group_IT_number 74
_space_group_name_Hall '-I 2b 2'
_cell_length_a 3.146
_cell_length_b 4.429
_cell_length_c 9.291
_cell_angle_alpha 90.00
_cell_angle_beta 90.00
_cell_angle_gamma 90.00
loop_
_atom_site_label
_atom_site_type_symbol
_atom_site_fract_x
_atom_site_fract_y
_atom_site_fract_z
Ta1 Ta 0.000 0.250 0.124
Ru1 Ru 0.000 0.250 0.611
```

Values from the calculation:
Formation enthalpy at 0 K   -0.5 eV/f.u.
Uncorrected energy   -86.507 eV per cell



Entry 3:
A geometry-optimized RbMgUF6 structure. Source: Alexandria via LeMat-Bulk, functional PBE.

The structure in CIF format:
```
data_RbMgUF6
_space_group_name_H-M_alt 'I m m a'
_space_group_IT_number 74
_space_group_name_Hall '-I 2b 2'
_cell_length_a 7.473
_cell_length_b 7.779
_cell_length_c 10.425
_cell_angle_alpha 90.00
_cell_angle_beta 90.00
_cell_angle_gamma 90.00
loop_
_atom_site_label
_atom_site_type_symbol
_atom_site_fract_x
_atom_site_fract_y
_atom_site_fract_z
Rb1 Rb 0.000 0.250 0.085
Mg1 Mg 0.250 0.250 0.750
U1 U 0.000 0.000 0.500
F1 F 0.000 0.250 0.373
F2 F 0.000 0.250 0.681
F3 F 0.231 0.066 0.883
```

Values from the calculation:
Uncorrected energy   -218.465 eV per cell
Energy relative to the elements, uncorrected   -3.2820 eV per atom



Entry 4:
A geometry-optimized Cs4Mg3TlBr12 structure. Source: Alexandria via LeMat-Bulk, functional PBE.

The structure in CIF format:
```
data_Cs4Mg3TlBr12
_space_group_name_H-M_alt 'I m -3 m'
_space_group_IT_number 229
_space_group_name_Hall '-I 4 2 3'
_cell_length_a 11.147
_cell_length_b 11.147
_cell_length_c 11.147
_cell_angle_alpha 90.00
_cell_angle_beta 90.00
_cell_angle_gamma 90.00
loop_
_atom_site_label
_atom_site_type_symbol
_atom_site_fract_x
_atom_site_fract_y
_atom_site_fract_z
Cs1 Cs 0.250 0.250 0.250
Mg1 Mg 0.000 0.000 0.500
Tl1 Tl 0.000 0.000 0.000
Br1 Br 0.000 0.000 0.265
Br2 Br 0.000 0.250 0.500
```

Values from the calculation:
Uncorrected energy   -119.315 eV per cell
Energy relative to the elements, uncorrected   -1.4509 eV per atom



Entry 5:
A geometry-optimized KAsRu2 structure. Source: Alexandria via LeMat-Bulk, functional PBE.

The structure in CIF format:
```
data_KAsRu2
_space_group_name_H-M_alt 'P 4 m m'
_space_group_IT_number 99
_cell_length_a 2.938
_cell_length_b 2.938
_cell_length_c 8.682
_cell_angle_alpha 90.00
_cell_angle_beta 90.00
_cell_angle_gamma 90.00
loop_
_space_group_symop_operation_xyz
'x,y,z'
'-y,x,z'
'-x,-y,z'
'y,-x,z'
'-x,y,z'
'y,x,z'
'x,-y,z'
'-y,-x,z'
loop_
_atom_site_label
_atom_site_type_symbol
_atom_site_fract_x
_atom_site_fract_y
_atom_site_fract_z
K1 K 0.000 0.000 0.000
As1 As 0.500 0.500 0.683
Ru1 Ru 0.000 0.000 0.505
Ru2 Ru 0.500 0.500 0.312
```

Values from the calculation:
Formation enthalpy at 0 K   1.2 eV/f.u.
Uncorrected energy   -23.065 eV per cell



Entry 6:
A geometry-optimized BaAlPRu structure. Source: Alexandria via LeMat-Bulk, functional PBE.

The structure in CIF format:
```
data_BaAlPRu
_space_group_name_H-M_alt 'P 4/n m m'
_space_group_IT_number 129
_cell_length_a 4.033
_cell_length_b 4.033
_cell_length_c 12.175
_cell_angle_alpha 90.00
_cell_angle_beta 90.00
_cell_angle_gamma 90.00
loop_
_space_group_symop_operation_xyz
'x,y,z'
'-x,-y,-z'
'-y+1/2,x,z'
'y+1/2,-x,-z'
'-x+1/2,-y+1/2,z'
'x+1/2,y+1/2,-z'
'y,-x+1/2,z'
'-y,x+1/2,-z'
'x+1/2,-y,-z'
'-x+1/2,y,z'
'-y,-x,-z'
'y,x,z'
'-x,y+1/2,-z'
'x,-y+1/2,z'
'y+1/2,x+1/2,-z'
'-y+1/2,-x+1/2,z'
loop_
_atom_site_label
_atom_site_type_symbol
_atom_site_fract_x
_atom_site_fract_y
_atom_site_fract_z
Ba1 Ba 0.250 0.250 0.242
Al1 Al 0.250 0.750 0.500
P1 P 0.250 0.250 0.903
Ru1 Ru 0.250 0.750 0.000
```

Values from the calculation:
Formation enthalpy at 0 K   -2.3 eV/f.u.
Uncorrected energy   -45.333 eV per cell



Entry 7:
A geometry-optimized Te2INF structure. Source: Alexandria via LeMat-Bulk, functional PBE.

The structure in CIF format:
```
data_Te2INF
_space_group_name_H-M_alt 'P 4/m m m'
_space_group_IT_number 123
_space_group_name_Hall '-P 4 2'
_cell_length_a 6.149
_cell_length_b 6.149
_cell_length_c 3.854
_cell_angle_alpha 90.00
_cell_angle_beta 90.00
_cell_angle_gamma 90.00
loop_
_atom_site_label
_atom_site_type_symbol
_atom_site_fract_x
_atom_site_fract_y
_atom_site_fract_z
Te1 Te 0.000 0.500 0.000
I1 I 0.000 0.000 0.000
N1 N 0.000 0.000 0.500
F1 F 0.500 0.500 0.500
```

Values from the calculation:
Uncorrected energy   -12.229 eV per cell
Energy relative to the elements, uncorrected   1.1602 eV per atom



Entry 8:
A geometry-optimized KYAg structure. Source: Alexandria via LeMat-Bulk, functional PBE.

The structure in CIF format:
```
data_KYAg
_space_group_name_H-M_alt 'P 3 m 1'
_space_group_IT_number 156
_cell_length_a 3.8248
_cell_length_b 3.8248
_cell_length_c 8.3773
_cell_angle_alpha 90.00
_cell_angle_beta 90.00
_cell_angle_gamma 120.00
loop_
_space_group_symop_operation_xyz
'x,y,z'
'-y,x-y,z'
'-x+y,-x,z'
'-y,-x,z'
'-x+y,y,z'
'x,x-y,z'
loop_
_atom_site_label
_atom_site_type_symbol
_atom_site_fract_x
_atom_site_fract_y
_atom_site_fract_z
K1 K 0.0000 0.0000 0.0000
Y1 Y 0.6667 0.3333 0.4347
Ag1 Ag 0.3333 0.6667 0.6726
```

Values from the calculation:
Formation enthalpy at 0 K   0.6 eV/f.u.
Uncorrected energy   -9.793 eV per cell



Entry 9:
A geometry-optimized La4Pt2N structure. Source: Alexandria via LeMat-Bulk, functional PBE.

The structure in CIF format:
```
data_La4Pt2N
_space_group_name_H-M_alt 'I 4/m m m'
_space_group_IT_number 139
_space_group_name_Hall '-I 4 2'
_cell_length_a 4.981
_cell_length_b 4.981
_cell_length_c 14.836
_cell_angle_alpha 90.00
_cell_angle_beta 90.00
_cell_angle_gamma 90.00
loop_
_atom_site_label
_atom_site_type_symbol
_atom_site_fract_x
_atom_site_fract_y
_atom_site_fract_z
La1 La 0.000 0.000 0.181
La2 La 0.000 0.500 0.000
Pt1 Pt 0.000 0.000 0.369
N1 N 0.000 0.000 0.000
```

Values from the calculation:
Uncorrected energy   -94.257 eV per cell
Energy relative to the elements, uncorrected   -1.0017 eV per atom



Entry 10:
A geometry-optimized ErZn2Pb structure. Source: Alexandria via LeMat-Bulk, functional PBE.

The structure in CIF format:
```
data_ErZn2Pb
_space_group_name_H-M_alt 'R -3 m'
_space_group_IT_number 166
_space_group_name_Hall '-R 3 2"'
_cell_length_a 4.5982
_cell_length_b 4.5982
_cell_length_c 14.9759
_cell_angle_alpha 90.00
_cell_angle_beta 90.00
_cell_angle_gamma 120.00
loop_
_atom_site_label
_atom_site_type_symbol
_atom_site_fract_x
_atom_site_fract_y
_atom_site_fract_z
Er1 Er 0.0000 0.0000 0.0000
Zn1 Zn 0.0000 0.0000 0.2430
Pb1 Pb 0.0000 0.0000 0.5000
```

Values from the calculation:
Formation enthalpy at 0 K   -0.4 eV/f.u.
Uncorrected energy   -33.600 eV per cell



Entry 11:
A geometry-optimized CaAlAg3 structure. Source: Alexandria via LeMat-Bulk, functional PBE.

The structure in CIF format:
```
data_CaAlAg3
_space_group_name_H-M_alt 'P m -3 m'
_space_group_IT_number 221
_space_group_name_Hall '-P 4 2 3'
_cell_length_a 4.926
_cell_length_b 4.926
_cell_length_c 4.926
_cell_angle_alpha 90.00
_cell_angle_beta 90.00
_cell_angle_gamma 90.00
loop_
_atom_site_label
_atom_site_type_symbol
_atom_site_fract_x
_atom_site_fract_y
_atom_site_fract_z
Ca1 Ca 0.000 0.000 0.000
Al1 Al 0.500 0.500 0.500
Ag1 Ag 0.000 0.500 0.500
```

Values from the calculation:
Formation enthalpy at 0 K   -0.1 eV/f.u.
Uncorrected energy   -14.352 eV per cell



Entry 12:
A geometry-optimized Tl2InPd8 structure. Source: Alexandria via LeMat-Bulk, functional PBE.

The structure in CIF format:
```
data_Tl2InPd8
_space_group_name_H-M_alt 'I m m m'
_space_group_IT_number 71
_space_group_name_Hall '-I 2 2'
_cell_length_a 4.057
_cell_length_b 7.944
_cell_length_c 12.203
_cell_angle_alpha 90.00
_cell_angle_beta 90.00
_cell_angle_gamma 90.00
loop_
_atom_site_label
_atom_site_type_symbol
_atom_site_fract_x
_atom_site_fract_y
_atom_site_fract_z
Tl1 Tl 0.000 0.000 0.155
In1 In 0.000 0.000 0.500
Pd1 Pd 0.000 0.249 0.333
Pd2 Pd 0.000 0.258 0.000
Pd3 Pd 0.000 0.500 0.169
```

Values from the calculation:
Formation enthalpy at 0 K   -2.8 eV/f.u.
Uncorrected energy   -103.591 eV per cell